A plane-wave DFT calculation with PBE was carried out for a relaxed structure of MnPdIN2.

```
5
Lattice="3.879 0.000 0.000 0.000 3.879 0.000 0.000 0.000 7.206" Properties=species:S:1:pos:R:3 pbc="T T T"
Mn 0.000 0.000 0.000
Pd 1.940 1.940 3.603
I 1.940 1.940 0.000
N 0.000 1.940 3.603
N 1.940 0.000 3.603
```

* uncorrected energy: -5.0148 eV per atom
* space group: P4/mmm
* formation energy without anion corrections: 1.498 eV per atom
* crystal system: tetragonal
* ΔE to the lowest computed polymorph: 0.733 eV/atom

***

A plane-wave DFT calculation with PBE was carried out for a relaxed structure of PrEuLuTh.

```
4
Lattice="0.000 4.078 4.078 4.078 0.000 4.078 4.078 4.078 0.000" Properties=species:S:1:pos:R:3 pbc="T T T"
Pr 0.000 0.000 0.000
Eu 2.039 2.039 2.039
Lu 6.117 6.117 6.117
Th 4.078 4.078 4.078
```

* uncorrected energy: -6.5513 eV per atom
* space group: F-43m
* DFT formation energy: 76 kJ/mol of formula units
* crystal system: cubic

***

A plane-wave DFT calculation with PBE was carried out for a relaxed structure of SrCeAs2Pd2.

```
6
Lattice="4.382 0.000 0.000 -2.191 3.795 0.000 0.000 0.000 8.109" Properties=species:S:1:pos:R:3 pbc="T T T"
Sr 0.000 0.000 0.000
Ce 0.000 0.000 4.054
As 0.000 2.530 2.256
As 2.191 1.265 5.853
Pd 0.000 2.530 5.979
Pd 2.191 1.265 2.130
```

* uncorrected energy: -5.6461 eV per atom
* space group: P-3m1
* DFT formation energy: -635 kJ/mol of formula units
* crystal system: trigonal

***

A plane-wave DFT calculation with PBE was carried out for a relaxed structure of ReHgN2O.

```
5
Lattice="3.989 0.000 0.000 0.000 3.989 0.000 0.000 0.000 3.895" Properties=species:S:1:pos:R:3 pbc="T T T"
Re 0.000 0.000 0.000
Hg 1.994 1.994 1.947
N 0.000 1.994 0.000
N 1.994 0.000 0.000
O 0.000 0.000 1.947
```

* uncorrected energy: -6.6098 eV per atom
* space group: P4/mmm
* formation energy without anion corrections: 0.262 eV per atom
* crystal system: tetragonal

***

A plane-wave DFT calculation with PBE was carried out for a relaxed structure of Li2AlSi.

```
4
Lattice="4.373 -1.483 0.000 4.373 1.483 0.000 -0.750 0.000 4.800" Properties=species:S:1:pos:R:3 pbc="T T T"
Li 0.000 0.000 0.000
Li 1.492 0.000 3.639
Al 3.843 0.000 2.315
Si 6.333 0.000 1.259
```

* uncorrected energy: -3.3258 eV per atom
* space group: Cm
* formation energy without anion corrections: -0.077 eV per atom
* crystal system: monoclinic

***

A plane-wave DFT calculation with PBE was carried out for a relaxed structure of Pu2PtSe.

```
4
Lattice="1.980 1.143 7.496 -1.980 1.143 7.496 0.000 -2.286 7.496" Properties=species:S:1:pos:R:3 pbc="T T T"
Pu 0.000 0.000 0.000
Pu 0.000 0.000 3.977
Pt 0.000 0.000 13.245
Se 0.000 0.000 9.463
```

* uncorrected energy: -10.4685 eV per atom
* space group: R3m
* formation energy without anion corrections: -0.921 eV per atom
* crystal system: trigonal
* ΔE to the lowest computed polymorph: 0.164 eV/atom

***

A plane-wave DFT calculation with PBE was carried out for a relaxed structure of Pm5Tl4H.

```
10
Lattice="-4.843 4.843 2.975 4.843 -4.843 2.975 4.843 4.843 -2.975" Properties=species:S:1:pos:R:3 pbc="T T T"
Pm 0.000 0.000 0.000
Pm 6.071 2.719 0.012
Pm 2.719 3.615 0.012
Pm 2.124 1.228 2.987
Pm -1.228 2.124 2.987
Tl 3.285 0.420 0.025
Tl 4.423 -1.558 3.000
Tl 0.420 6.401 0.025
Tl 1.558 4.423 3.000
H 0.000 0.000 3.553
```

* uncorrected energy: -3.8557 eV per atom
* space group: I4
* crystal system: tetragonal

***

A plane-wave DFT calculation with PBE was carried out for a relaxed structure of BaCeNbO6.

```
9
Lattice="5.753 0.000 0.000 -2.876 4.982 0.000 0.000 0.000 5.610" Properties=species:S:1:pos:R:3 pbc="T T T"
Ba 0.000 0.000 0.000
Ce 0.000 3.321 2.805
Nb 2.876 1.661 2.805
O 2.196 0.130 3.939
O 1.211 1.837 1.670
O 3.556 0.130 1.670
O 1.891 3.015 3.939
O 4.542 1.837 3.939
O 3.862 3.015 1.670
```

* uncorrected energy: -7.9901 eV per atom
* space group: P312
* formation energy without anion corrections: -2.693 eV per atom
* crystal system: trigonal

***

A plane-wave DFT calculation with PBE was carried out for a relaxed structure of K2MgHPb.

```
5
Lattice="6.925 0.000 0.000 0.000 6.925 0.000 0.000 0.000 5.177" Properties=species:S:1:pos:R:3 pbc="T T T"
K 0.000 3.463 0.000
K 3.463 0.000 0.000
Mg 0.000 0.000 0.000
H 3.463 3.463 2.589
Pb 0.000 0.000 2.589
```

* uncorrected energy: -1.6715 eV per atom
* space group: P4/mmm
* crystal system: tetragonal

***

A plane-wave DFT calculation with PBE was carried out for a relaxed structure of GaBiCl.

```
6
Lattice="6.137 0.000 0.000 0.000 4.269 0.000 -1.499 0.000 6.935" Properties=species:S:1:pos:R:3 pbc="T T T"
Ga 0.575 1.067 1.563
Ga 4.063 3.202 5.372
Bi 1.779 3.202 0.021
Bi 2.858 1.067 6.914
Cl 0.764 1.067 3.751
Cl 3.874 3.202 3.184
```

* uncorrected energy: -3.2874 eV per atom
* space group: P2_1/m
* formation energy without anion corrections: -0.369 eV per atom
* crystal system: monoclinic

***

A plane-wave DFT calculation with PBE was carried out for a relaxed structure of LaFe4Pb.

```
6
Lattice="0.000 3.712 3.712 3.712 0.000 3.712 3.712 3.712 0.000" Properties=species:S:1:pos:R:3 pbc="T T T"
La 0.000 0.000 0.000
Fe 2.773 2.773 2.773
Fe 4.651 4.651 2.773
Fe 4.651 2.773 4.651
Fe 2.773 4.651 4.651
Pb 5.568 5.568 5.568
```

* uncorrected energy: -6.9066 eV per atom
* space group: F-43m
* DFT formation energy: 101 kJ/mol of formula units
* crystal system: cubic

***

A plane-wave DFT calculation with PBE was carried out for a relaxed structure of MnAlCu.

```
3
Lattice="4.144 0.000 0.000 -2.072 3.589 0.000 0.000 0.000 2.706" Properties=species:S:1:pos:R:3 pbc="T T T"
Mn 0.000 0.000 0.000
Al 2.072 1.196 1.345
Cu 0.000 2.392 1.364
```

* uncorrected energy: -5.7654 eV per atom
* space group: P3m1
* DFT formation energy: -28 kJ/mol of formula units
* crystal system: trigonal

***

A plane-wave DFT calculation with PBE was carried out for a relaxed structure of Ta2GaSbW.

```
5
Lattice="4.976 0.000 0.000 0.000 4.976 0.000 0.000 0.000 5.090" Properties=species:S:1:pos:R:3 pbc="T T T"
Ta 0.000 2.488 0.000
Ta 2.488 0.000 0.000
Ga 0.000 0.000 2.545
Sb 2.488 2.488 2.545
W 2.488 2.488 0.000
```

* uncorrected energy: -7.3657 eV per atom
* space group: P4/mmm
* formation energy without anion corrections: 1.396 eV per atom
* crystal system: tetragonal

***

A plane-wave DFT calculation with PBE was carried out for a relaxed structure of BeP2Ru.

```
8
Lattice="-2.523 2.523 5.288 2.523 -2.523 5.288 2.523 2.523 -5.288" Properties=species:S:1:pos:R:3 pbc="T T T"
Be 0.000 0.000 0.000
Be 0.000 2.523 2.644
P 3.785 1.188 -1.322
P 1.188 1.262 1.322
P -1.262 1.335 3.966
P 1.335 1.262 6.610
Ru 2.523 0.000 2.644
Ru 0.000 0.000 5.288
```

* uncorrected energy: -6.0299 eV per atom
* space group: I-42d
* DFT formation energy: -29 kJ/mol of formula units
* crystal system: tetragonal

***

A plane-wave DFT calculation with PBE was carried out for a relaxed structure of MnTcIr2.

```
4
Lattice="2.811 0.000 0.000 0.000 4.510 0.000 0.000 0.000 4.578" Properties=species:S:1:pos:R:3 pbc="T T T"
Mn 0.000 0.000 0.000
Tc 1.405 0.000 2.289
Ir 0.000 2.255 2.289
Ir 1.405 2.255 0.000
```

* uncorrected energy: -9.1459 eV per atom
* space group: Pmmm
* DFT formation energy: 65 kJ/mol of formula units
* crystal system: orthorhombic
* ΔE to the lowest computed polymorph: 0.348 eV/atom

***

A plane-wave DFT calculation with PBE was carried out for a relaxed structure of Ce2CN6.

```
9
Lattice="3.220 -1.857 0.000 3.220 1.857 0.000 -2.105 0.000 14.486" Properties=species:S:1:pos:R:3 pbc="T T T"
Ce 0.015 0.000 4.477
Ce 4.319 0.000 10.009
C 2.167 0.000 7.243
N 0.025 0.000 10.613
N 2.885 0.000 0.445
N 2.164 0.000 6.007
N 2.170 0.000 8.479
N 1.449 0.000 14.041
N 4.309 0.000 3.873
```

* uncorrected energy: -8.5801 eV per atom
* space group: C2/m
* formation energy without anion corrections: -0.686 eV per atom
* crystal system: monoclinic

***

A plane-wave DFT calculation with PBE was carried out for a relaxed structure of Sn6Ru.

```
14
Lattice="4.229 -3.276 0.000 4.229 3.276 0.000 0.000 0.000 12.936" Properties=species:S:1:pos:R:3 pbc="T T T"
Sn 2.578 1.836 3.234
Sn 4.229 2.519 8.029
Sn 4.229 2.519 11.374
Sn 2.659 0.000 0.000
Sn 2.659 0.000 6.468
Sn 5.880 1.836 3.234
Sn 2.578 -1.836 9.702
Sn 5.800 0.000 0.000
Sn 5.800 0.000 6.468
Sn 4.229 -2.519 1.561
Sn 4.229 -2.519 4.906
Sn 5.880 -1.836 9.702
Ru 4.229 0.374 9.702
Ru 4.229 -0.374 3.234
```

* uncorrected energy: -4.6554 eV per atom
* space group: Cmcm
* DFT formation energy: 68 kJ/mol of formula units
* crystal system: orthorhombic

***

A plane-wave DFT calculation with PBE was carried out for a relaxed structure of SmGe2Rh.

```
16
Lattice="-2.166 4.494 8.089 2.166 -4.494 8.089 2.166 4.494 -8.089" Properties=species:S:1:pos:R:3 pbc="T T T"
Sm 0.000 0.000 3.332
Sm 0.000 2.141 0.000
Sm 0.000 6.846 0.000
Sm 0.000 0.000 12.847
Ge 2.166 0.000 1.248
Ge 2.166 -1.378 4.880
Ge 0.000 0.000 6.810
Ge 2.166 1.378 4.880
Ge 0.000 3.116 3.209
Ge 0.000 0.000 9.369
Ge 0.000 5.872 3.209
Ge 0.000 4.494 6.842
Rh 2.166 2.263 -2.371
Rh 2.166 2.263 2.371
Rh 0.000 2.231 5.718
Rh 0.000 2.231 10.460
```

* uncorrected energy: -6.1732 eV per atom
* space group: Immm
* DFT formation energy: -327 kJ/mol of formula units
* crystal system: orthorhombic

***

A plane-wave DFT calculation with PBE was carried out for a relaxed structure of SrTlCd2.

```
4
Lattice="4.730 0.000 0.000 0.000 4.964 0.000 0.000 0.000 4.969" Properties=species:S:1:pos:R:3 pbc="T T T"
Sr 0.000 0.000 0.000
Tl 2.365 2.482 0.000
Cd 0.000 2.482 2.485
Cd 2.365 0.000 2.485
```

* uncorrected energy: -1.6774 eV per atom
* space group: Pmmm
* DFT formation energy: -80 kJ/mol of formula units
* crystal system: orthorhombic

***

A plane-wave DFT calculation with PBE was carried out for a relaxed structure of CuHg2P2.

```
10
Lattice="6.001 0.000 0.000 0.000 6.001 0.000 0.000 0.000 5.498" Properties=species:S:1:pos:R:3 pbc="T T T"
Cu 0.000 0.000 0.000
Cu 3.001 3.001 0.000
Hg 1.077 1.924 2.749
Hg 1.924 4.924 2.749
Hg 4.078 1.077 2.749
Hg 4.924 4.078 2.749
P 0.785 2.216 0.000
P 2.216 5.216 0.000
P 3.786 0.785 0.000
P 5.216 3.786 0.000
```

* uncorrected energy: -2.9850 eV per atom
* space group: P4/mbm
* DFT formation energy: 57 kJ/mol of formula units
* crystal system: tetragonal